1.
La3AlHg | PBE | relaxed

Results
Energy of formation from the pure elements in kJ per mole of atoms: 18.1
Relative energy among the computed polymorphs in kJ/mol of atoms: 50.9
Symmetry: Pm-3m (221)

Lattice parameters (Å, degrees): 5.7700 5.7700 5.7700 90.00 90.00 90.00
Last column: nearest neighbours and their distance in Å.
Element x y z (fractional)
Hg (0.5000, 0.5000, 0.5000)  12 La 4.08
La (0.0000, 0.5000, 0.0000)  2 Al 2.88
La (0.0000, 0.0000, 0.5000)  2 Al 2.88
La (0.5000, 0.0000, 0.0000)  2 Al 2.88
Al (0.0000, 0.0000, 0.0000)  6 La 2.88

2.
TlSi2Au | PBE | relaxed

Results
Relative energy among the computed polymorphs in kJ/mol of atoms: 18.7
Symmetry: Pmmm (47)

Lattice parameters (Å, degrees): 3.1687 3.7297 7.1914 90.00 90.00 90.00
Last column: nearest neighbours and their distance in Å.
Element x y z (fractional)
Au (0.5000, 0.5000, 0.7500)  8 Si 2.76
Si (0.0000, 0.0000, 0.9261)  1 Si 2.53, 4 Au 2.76
Si (0.0000, 0.0000, 0.5739)  1 Si 2.53, 4 Au 2.76
Tl (0.5000, 0.5000, 0.2500)  2 Tl 3.17, 8 Si 3.38

3.
BW2N | PBE | relaxed

Results
Relative energy among the computed polymorphs in kJ/mol of atoms: 9.1
Symmetry: Fm-3m (225)

Lattice parameters (Å, degrees): 3.9087 3.9087 3.9087 60.00 60.00 60.00
Last column: nearest neighbours and their distance in Å.
Element x y z (fractional)
W (0.7500, 0.7500, 0.7500)  4 N 2.39, 4 B 2.39
W (0.2500, 0.2500, 0.2500)  4 B 2.39, 4 N 2.39
N (0.5000, 0.5000, 0.5000)  8 W 2.39
B (0.0000, 0.0000, 0.0000)  8 W 2.39

4.
TbEr2TmTh | PBE | relaxed

Results
Energy of formation from the pure elements in kJ per mole of atoms: 36.7
Symmetry: P2/c (13)

Lattice parameters (Å, degrees): 6.0246 8.2281 6.9056 97.85 90.00 90.00
Last column: nearest neighbours and their distance in Å.
Element x y z (fractional)
Er (0.5858, 0.6670, 0.9216)  2 Th 3.21-3.33, 2 Er 3.26-3.38, 3 Tm 3.43-3.46
Er (0.5858, 0.3330, 0.5784)  2 Th 3.21-3.33, 2 Er 3.26-3.38, 3 Tm 3.43-3.46
Er (0.4142, 0.3330, 0.0784)  2 Th 3.21-3.33, 2 Er 3.26-3.38, 3 Tm 3.43-3.46
Er (0.4142, 0.6670, 0.4216)  2 Th 3.21-3.33, 2 Er 3.26-3.38, 3 Tm 3.43-3.46
Tb (0.0000, 0.0000, 0.0000)  4 Th 3.32-3.63, 2 Tb 3.45, 2 Er 3.69
Tb (0.0000, 0.0000, 0.5000)  4 Th 3.32-3.63, 2 Tb 3.45, 2 Er 3.69
Tm (0.0881, 0.5000, 0.7500)  6 Er 3.43-3.46, 2 Tm 3.61
Tm (0.9119, 0.5000, 0.2500)  6 Er 3.43-3.46, 2 Tm 3.61
Th (0.5299, 0.0000, 0.2500)  4 Er 3.21-3.33, 2 Tb 3.32, 2 Th 3.47
Th (0.4701, 0.0000, 0.7500)  4 Er 3.21-3.33, 2 Tb 3.32, 2 Th 3.47

5.
KBa2I2 | PBE | relaxed

Results
Relative energy among the computed polymorphs in kJ/mol of atoms: 0.0
Symmetry: I4/mmm (139)

Lattice parameters (Å, degrees): 5.9992 5.9992 9.3411 71.27 71.27 90.00
Last column: nearest neighbours and their distance in Å.
Element x y z (fractional)
I (0.7500, 0.2500, 0.5000)  4 Ba 3.55
I (0.2500, 0.7500, 0.5000)  4 Ba 3.55
Ba (0.3645, 0.3645, 0.2710)  4 I 3.55
Ba (0.6355, 0.6355, 0.7290)  4 I 3.55
K (0.0000, 0.0000, 0.0000)  8 Ba 4.80, 8 I 5.13

6.
K2Pa2PN6 | PBE | relaxed

Results
Total energy in eV/atom: -7.49
Symmetry: C2/m (12)

Lattice parameters (Å, degrees): 6.4598 6.4598 6.6440 94.06 94.06 127.90
Last column: nearest neighbours and their distance in Å.
Element x y z (fractional)
P (0.0000, 0.0000, 0.5000)  2 N 1.55
N (0.1954, 0.1954, 0.3610)  1 P 1.55
N (0.0539, 0.4427, 0.6830)  1 Pa 2.03
N (0.5573, 0.9461, 0.3170)  1 Pa 2.03
N (0.8046, 0.8046, 0.6390)  1 P 1.55
N (0.9461, 0.5573, 0.3170)  1 Pa 2.03
N (0.4427, 0.0539, 0.6830)  1 Pa 2.03
Pa (0.3260, 0.6740, 0.5000)  2 N 2.03
Pa (0.6740, 0.3260, 0.5000)  2 N 2.03
K (0.8510, 0.1490, 0.0000)  6 N 2.77-3.02
K (0.1490, 0.8510, 0.0000)  6 N 2.77-3.02

7.
Tm2Pd12Au5 | PBE | relaxed

Results
Energy of formation from the pure elements in kJ per mole of atoms: -26.9
Symmetry: C2/m (12)

Lattice parameters (Å, degrees): 8.4774 7.4674 6.5433 83.97 90.00 124.58
Last column: nearest neighbours and their distance in Å.
Element x y z (fractional)
Au (0.3571, 0.7141, 0.1163)  9 Pd 2.73-3.05, 1 Au 2.76, 2 Tm 2.93
Au (0.7735, 0.5469, 0.5079)  7 Pd 2.73-2.82, 2 Au 2.76-2.78
Au (0.6429, 0.2859, 0.8837)  9 Pd 2.73-3.05, 1 Au 2.76, 2 Tm 2.93
Au (0.2265, 0.4531, 0.4921)  7 Pd 2.73-2.82, 2 Au 2.76-2.78
Au (0.0000, 0.0000, 0.5000)  6 Pd 2.73-2.79, 2 Au 2.78
Pd (0.5527, 0.1055, 0.2897)  2 Au 2.75-2.79, 7 Pd 2.77-2.89
Pd (0.4488, 0.5255, 0.8164)  5 Pd 2.62-2.88, 2 Au 2.73-2.87
Pd (0.0767, 0.5255, 0.8164)  5 Pd 2.62-2.88, 2 Au 2.73-2.87
Pd (0.3787, 0.2067, 0.5742)  4 Au 2.73-2.87, 5 Pd 2.77-2.88, 1 Tm 2.94
Pd (0.1344, 0.2687, 0.1232)  3 Au 2.73-2.79, 2 Tm 2.74, 4 Pd 2.86-2.99
Pd (0.1720, 0.7933, 0.4258)  4 Au 2.73-2.87, 5 Pd 2.77-2.88, 1 Tm 2.94
Pd (0.4473, 0.8945, 0.7103)  2 Au 2.75-2.79, 7 Pd 2.77-2.89
Pd (0.5512, 0.4745, 0.1836)  5 Pd 2.62-2.88, 2 Au 2.73-2.87
Pd (0.6213, 0.7933, 0.4258)  4 Au 2.73-2.87, 5 Pd 2.77-2.88, 1 Tm 2.94
Pd (0.8280, 0.2067, 0.5742)  4 Au 2.73-2.87, 5 Pd 2.77-2.88, 1 Tm 2.94
Pd (0.9233, 0.4745, 0.1836)  5 Pd 2.62-2.88, 2 Au 2.73-2.87
Pd (0.8656, 0.7313, 0.8768)  3 Au 2.73-2.79, 2 Tm 2.74, 4 Pd 2.86-2.99
Tm (0.2297, 0.0000, 0.0000)  4 Pd 2.74-2.94, 2 Au 2.93
Tm (0.7703, 0.0000, 0.0000)  4 Pd 2.74-2.94, 2 Au 2.93

8.
SrIn2As | PBE | relaxed

Results
Energy of formation from the pure elements in kJ per mole of atoms: -25.5
Symmetry: P4/mmm (123)

Lattice parameters (Å, degrees): 3.8860 3.8860 7.3098 90.00 90.00 90.00
Last column: nearest neighbours and their distance in Å.
Element x y z (fractional)
In (0.0000, 0.0000, 0.9473)  1 In 2.88, 4 As 3.10
In (0.0000, 0.0000, 0.5527)  1 In 2.88, 4 As 3.10
As (0.5000, 0.5000, 0.7500)  8 In 3.10
Sr (0.5000, 0.5000, 0.2500)  8 In 3.53, 2 As 3.65, 4 Sr 3.89

9.
PmNdNiAg | PBE | relaxed

Results
Energy of formation from the pure elements in kJ per mole of atoms: -20.3
Symmetry: F-43m (216)

Lattice parameters (Å, degrees): 5.1294 5.1294 5.1294 60.00 60.00 60.00
Last column: nearest neighbours and their distance in Å.
Element x y z (fractional)
Nd (0.2500, 0.2500, 0.2500)  4 Ni 3.14, 4 Ag 3.14
Ni (0.0000, 0.0000, 0.0000)  4 Pm 3.14, 4 Nd 3.14
Pm (0.7500, 0.7500, 0.7500)  4 Ag 3.14, 4 Ni 3.14
Ag (0.5000, 0.5000, 0.5000)  4 Nd 3.14, 4 Pm 3.14

10.
Sr2AcCd | PBE | relaxed

Results
Energy of formation from the pure elements in kJ per mole of atoms: 9.6
Relative energy among the computed polymorphs in kJ/mol of atoms: 19.5
Symmetry: R-3m (166)

Lattice parameters (Å, degrees): 3.9841 3.9841 13.0908 81.25 81.25 60.00
Last column: nearest neighbours and their distance in Å.
Element x y z (fractional)
Sr (0.8992, 0.8992, 0.3024)  3 Cd 3.43
Sr (0.1008, 0.1008, 0.6976)  3 Cd 3.43
Ac (0.0000, 0.0000, 0.0000)  2 Sr 3.90, 6 Ac 3.98
Cd (0.5000, 0.5000, 0.5000)  6 Sr 3.43

11.
Li2FeRu | PBE | relaxed

Results
Energy of formation from the pure elements in kJ per mole of atoms: 16.6
Relative energy among the computed polymorphs in kJ/mol of atoms: 2.0
Symmetry: Pmm2 (25)

Lattice parameters (Å, degrees): 4.2850 2.5595 4.8033 90.02 90.00 90.00
Last column: nearest neighbours and their distance in Å.
Element x y z (fractional)
Fe (0.5000, 0.8753, 0.6790)  4 Ru 2.55, 2 Fe 2.56, 6 Li 2.64-2.80
Li (0.5000, 0.3753, 0.1984)  6 Li 2.56-2.59, 4 Fe 2.64-2.80, 2 Ru 2.78
Li (0.0000, 0.8748, 0.0548)  6 Li 2.56-2.59, 4 Ru 2.67-2.78, 2 Fe 2.80
Ru (0.0000, 0.3746, 0.5678)  4 Fe 2.55, 2 Ru 2.56, 6 Li 2.67-2.78

12.
MnCrAg3 | PBE | relaxed

Results
Energy of formation from the pure elements in kJ per mole of atoms: 187.5
Symmetry: Pm-3m (221)

Lattice parameters (Å, degrees): 4.7454 4.7454 4.7454 90.00 90.00 90.00
Last column: nearest neighbours and their distance in Å.
Element x y z (fractional)
Ag (0.0000, 0.5000, 0.0000)  2 Mn 2.37
Ag (0.5000, 0.0000, 0.0000)  2 Mn 2.37
Ag (0.0000, 0.0000, 0.5000)  2 Mn 2.37
Cr (0.5000, 0.5000, 0.5000)  12 Ag 3.36
Mn (0.0000, 0.0000, 0.0000)  6 Ag 2.37